Below is a relaxed structure of ThBCl, with properties calculated at the PBE level.

Properties
Excess energy over the best structure of this formula in the dataset   57 meV per atom
Total magnetization   0.00 μB/atom
VASP energy   -38.44 eV per cell

Cell lengths 3.734, 3.335, 11.455 Å; angles 90.00, 99.29, 90.00 degrees
Fractional positions:
Th  0.075  0.250  0.151
Th  0.925  0.750  0.849
B  0.485  0.250  0.970
B  0.515  0.750  0.030
Cl  0.333  0.750  0.663
Cl  0.667  0.250  0.337